GaHgBi3, single point on PBEsol structure, DFT SCAN; Fermi-level density of states = 3.2 states/eV per cell; energy of formation from the pure elements = 2.62 eV/f.u.; uncorrected energy = -63.53 eV per atom
1.0
5.439 0.000 0.000
0.000 5.439 0.000
0.000 0.000 5.439
Bi Ga Hg
3 1 1
Cartesian
2.720 0.000 0.000
0.000 2.720 0.000
0.000 0.000 2.720
0.000 0.000 0.000
2.720 2.720 2.720

BaLa2BiMo, single point on PBEsol structure, DFT SCAN; Fermi-level density of states = 5.2 states/eV per cell; energy of formation from the pure elements = 7.56 eV/f.u.; uncorrected energy = -46.33 eV per atom
1.0
-4.742 -3.255 0.318
1.142 -1.123 5.533
-3.213 4.842 1.646
Ba Bi La Mo
1 1 2 1
Cartesian
0.000 0.000 0.000
-1.606 2.421 0.823
0.571 -0.562 2.767
-2.371 -1.627 0.159
-3.407 0.232 3.749

Al2CrS2, single point on PBEsol structure, DFT SCAN; formation energy (no corrections) = 0.6 eV/f.u.; Fermi-level density of states = 3.4 states/eV per cell; uncorrected energy = -10.52 eV per atom
1.0
3.490 0.000 0.000
0.000 3.490 0.000
-1.745 -1.745 7.036
S Al Cr
2 2 1
Cartesian
0.000 0.000 5.661
1.745 1.745 1.375
1.745 0.000 3.518
0.000 1.745 3.518
0.000 0.000 0.000

CaPBr2, single point on PBEsol structure, DFT SCAN; formation energy (no corrections) = -3.5 eV/f.u.; Fermi-level density of states = 0.8 states/eV per cell; uncorrected energy = -15.62 eV per atom
1.0
-1.578 -2.065 2.634
3.355 -2.178 0.302
1.689 6.432 3.454
P Br Ca
1 2 1
Cartesian
2.816 0.884 2.380
3.412 2.001 6.212
0.353 0.948 3.554
1.238 -1.577 2.105

KLi3Ni, single point on PBEsol structure, DFT SCAN; Fermi-level density of states = 2.3 states/eV per cell; energy of formation from the pure elements = 1.53 eV/f.u.; uncorrected energy = -6.03 eV per atom
1.0
4.881 0.000 0.000
0.000 4.881 0.000
0.000 0.000 4.881
Ni Li K
1 3 1
Cartesian
0.000 0.000 0.000
0.000 0.000 2.440
2.440 0.000 0.000
0.000 2.440 0.000
2.440 2.440 2.440

Ba2BiPd2, single point on PBEsol structure, DFT SCAN; Fermi-level density of states = 4.9 states/eV per cell; energy of formation from the pure elements = -3.29 eV/f.u.; uncorrected energy = -45.30 eV per atom
1.0
-0.326 -4.614 0.506
7.585 -0.680 -1.304
1.367 0.734 7.569
Pd Ba Bi
4 4 2
Cartesian
4.046 0.387 6.137
4.907 -0.333 0.128
1.457 0.191 2.680
7.495 -0.137 3.585
6.122 -2.169 5.563
2.503 -2.391 1.208
2.141 -1.930 5.172
6.484 -2.630 1.599
4.476 0.027 3.132
0.000 0.000 0.000